1.
CsRbHfS3 after structural relaxation, computed with PBE-GGA.

Lattice parameters (Å, degrees): 6.9433 7.8552 8.6439 62.98 84.89 78.70
Positions (direct):
S  0.0005  0.7592  0.0722
S  0.7500  0.2007  0.5986
S  0.4995  0.1687  0.0722
S  0.2500  0.7993  0.4014
S  0.5005  0.8313  0.9278
S  0.9995  0.2408  0.9278
Cs  0.7500  0.7582  0.4836
Cs  0.2500  0.2418  0.5164
Rb  0.2500  0.5897  0.8206
Rb  0.7500  0.4103  0.1794
Hf  0.7500  0.0465  0.9071
Hf  0.2500  0.9535  0.0929

Values from the calculation:
- Total moment: 0.000 μB/atom
- Energy relative to the elements, uncorrected: -143.55 kJ/mol of atoms
- SG: C2/c (15)
- Theoretical density: 4.0 g/cm3

---

2.
CsBaSb after structural relaxation, computed with PBE-GGA.

Lattice parameters (Å, degrees): 4.7349 4.7349 7.5030 108.39 108.39 90.00
Positions (direct):
Sb  0.7002  0.7002  0.4004
Cs  0.0176  0.0176  0.0353
Ba  0.2821  0.2821  0.5643

Values from the calculation:
- Total moment: 0.000 μB/atom
- Energy relative to the elements, uncorrected: -53.90 kJ/mol of atoms
- SG: I4mm (107)
- Theoretical density: 4.3 g/cm3

---

3.
Sr2CoC4 after structural relaxation, computed with PBE-GGA.

Lattice parameters (Å, degrees): 5.2958 7.3177 7.3177 62.40 68.79 68.79
Positions (direct):
Sr  0.6422  0.1810  0.5347
Sr  0.8578  0.4653  0.8190
Sr  0.3578  0.8190  0.4653
Sr  0.1422  0.5347  0.1810
C  0.6281  0.5584  0.1853
C  0.3719  0.4416  0.8147
C  0.4224  0.2365  0.9188
C  0.5776  0.7635  0.0812
C  0.0776  0.0812  0.7635
C  0.1281  0.1853  0.5584
C  0.9224  0.9188  0.2365
C  0.8719  0.8147  0.4416
Co  0.7500  0.0000  0.0000
Co  0.2500  0.0000  0.0000

Values from the calculation:
- Total moment: 0.000 μB/atom
- SG: Ibam (72)
- Energy: -93.835 eV per cell
- Theoretical density: 4.1 g/cm3

---

4.
LiPuSbO6 after structural relaxation, computed with PBE-GGA.

Lattice parameters (Å, degrees): 4.8850 4.8850 9.4511 90.00 90.00 90.00
Each line ends with the local moment (μB).
Positions (direct):
O  0.8124  0.1876  0.8371  -0.10
O  0.8049  0.1951  0.1584  -0.07
O  0.6951  0.6951  0.6584  -0.07
O  0.2037  0.7963  0.5052  -0.09
O  0.7037  0.7037  0.0052  -0.09
O  0.1951  0.8049  0.1584  -0.07
O  0.2963  0.2963  0.0052  -0.09
O  0.3124  0.3124  0.3371  -0.10
O  0.7963  0.2037  0.5052  -0.09
O  0.6876  0.6876  0.3371  -0.10
O  0.3049  0.3049  0.6584  -0.07
O  0.1876  0.8124  0.8371  -0.10
Li  0.0000  0.0000  0.3318  0.00
Li  0.5000  0.5000  0.8318  0.00
Pu  0.5000  0.5000  0.1637  2.53
Pu  0.0000  0.0000  0.6637  2.53
Sb  0.5000  0.5000  0.5031  0.02
Sb  0.0000  0.0000  0.0031  0.02

Values from the calculation:
- Total moment: 0.222 μB/atom
- Energy relative to the elements, uncorrected: -188.98 kJ/mol of atoms
- SG: P4_2nm (102)
- Theoretical density: 6.9 g/cm3